Arrangement A

Nd3Tm2Hg2 | GGA-PBE | optimized geometry

Cell: 5.021 22.981 3.550 Å, 90.00 90.00 90.00°
Space group Cmmm (No. 65)
Inequivalent atoms, fractional coordinates:
Nd (0.000, 0.000, 0.000) [2 per cell]
Nd (0.000, 0.147, 0.000) [4 per cell]
Tm (0.000, 0.290, 0.500) [4 per cell]
Hg (0.000, 0.428, 0.500) [4 per cell]

Total magnetization: 0.92 Bohr magnetons per cell

Arrangement B

Nd3Tm2Hg2 | GGA-PBE | optimized geometry

Cell: 9.408 5.444 8.610 Å, 90.00 111.44 90.00°
Space group C2/m (No. 12)
Inequivalent atoms, fractional coordinates:
Nd (0.000, 0.000, 0.000) [2 per cell]
Nd (0.160, 0.000, 0.478) [4 per cell]
Tm (0.073, 0.500, 0.721) [4 per cell]
Hg (0.211, 0.500, 0.133) [4 per cell]

Total magnetization: 0.00 Bohr magnetons per cell

Q: Which of them is the most stable? A: arrangement B.

Arrangement A

Nd3TmHg4 | GGA-PBE | optimized geometry

Cell: 3.855 7.650 16.302 Å, 90.00 90.00 90.00°
Space group Immm (No. 71)
Inequivalent atoms, fractional coordinates:
Nd (0.000, 0.000, 0.000) [2 per cell]
Nd (0.000, 0.500, 0.202) [4 per cell]
Tm (0.000, 0.000, 0.500) [2 per cell]
Hg (0.000, 0.294, 0.372) [8 per cell]

Total magnetization: 0.00 Bohr magnetons per cell

Arrangement B

Nd3TmHg4 | GGA-PBE | optimized geometry

Cell: 3.767 3.767 15.440 Å, 90.00 90.00 90.00°
Space group P4/mmm (No. 123)
Inequivalent atoms, fractional coordinates:
Nd (0.000, 0.000, 0.000) [1 per cell]
Nd (0.000, 0.000, 0.256) [2 per cell]
Tm (0.000, 0.000, 0.500) [1 per cell]
Hg (0.500, 0.500, 0.127) [2 per cell]
Hg (0.500, 0.500, 0.388) [2 per cell]

Total magnetization: 1.47 Bohr magnetons per cell

Q: Which of them is the most stable? A: arrangement B.

Arrangement A

NdTm2Hg | GGA-PBE | optimized geometry

Cell: 4.831 4.831 4.789 Å, 90.00 90.00 90.00°
Space group P4/mmm (No. 123)
Inequivalent atoms, fractional coordinates:
Nd (0.000, 0.000, 0.000) [1 per cell]
Tm (0.000, 0.500, 0.500) [2 per cell]
Hg (0.500, 0.500, 0.000) [1 per cell]

Total magnetization: 0.55 Bohr magnetons per cell

Arrangement B

NdTm2Hg | GGA-PBE | optimized geometry

Cell: 3.6020 3.6020 31.5809 Å, 90.00 90.00 120.00°
Space group R-3m (No. 166, hexagonal axes)
Inequivalent atoms, fractional coordinates:
Nd (0.0000, 0.0000, 0.0000) [3 per cell]
Tm (0.0000, 0.0000, 0.2412) [6 per cell]
Hg (0.0000, 0.0000, 0.5000) [3 per cell]

Total magnetization: 0.00 Bohr magnetons per cell

Q: Which of them is the most stable? A: arrangement B.

Arrangement A

NdTmHg3 | GGA-PBE | optimized geometry

Cell: 7.0235 7.0235 6.7181 Å, 90.00 90.00 120.00°
Space group P6_3/mmc (No. 194)
Inequivalent atoms, fractional coordinates:
Nd (0.3333, 0.6667, 0.2500) [2 per cell]
Tm (0.0000, 0.0000, 0.0000) [2 per cell]
Hg (0.1974, 0.3947, 0.7500) [6 per cell]

Total magnetization: 0.00 Bohr magnetons per cell

Arrangement B

NdTmHg3 | GGA-PBE | optimized geometry

Cell: 3.584 29.128 4.949 Å, 90.00 90.00 90.00°
Space group Cmcm (No. 63)
Inequivalent atoms, fractional coordinates:
Nd (0.000, 0.077, 0.250) [4 per cell]
Tm (0.000, 0.211, 0.750) [4 per cell]
Hg (0.000, 0.316, 0.750) [4 per cell]
Hg (0.000, 0.376, 0.250) [4 per cell]
Hg (0.000, 0.475, 0.250) [4 per cell]

Total magnetization: 0.83 Bohr magnetons per cell

Q: Which of them is the most stable? A: arrangement B.

Arrangement A

Nd2TmHg4 | GGA-PBE | optimized geometry

Cell: 5.1342 5.1342 26.9814 Å, 90.00 90.00 120.00°
Space group R-3m (No. 166, hexagonal axes)
Inequivalent atoms, fractional coordinates:
Nd (0.0000, 0.0000, 0.2444) [6 per cell]
Tm (0.0000, 0.0000, 0.0000) [3 per cell]
Hg (0.0000, 0.0000, 0.1271) [6 per cell]
Hg (0.0000, 0.0000, 0.3695) [6 per cell]

Total magnetization: 0.00 Bohr magnetons per cell

Arrangement B

Nd2TmHg4 | GGA-PBE | optimized geometry

Cell: 5.586 5.586 15.638 Å, 90.00 90.00 90.00°
Space group I4/mmm (No. 139)
Inequivalent atoms, fractional coordinates:
Nd (0.000, 0.000, 0.108) [4 per cell]
Tm (0.000, 0.000, 0.500) [2 per cell]
Hg (0.000, 0.000, 0.309) [4 per cell]
Hg (0.000, 0.500, 0.000) [4 per cell]

Total magnetization: 0.00 Bohr magnetons per cell

Q: Which of them is the most stable? A: arrangement A.

Arrangement A

NdYHg2 | GGA-PBE | optimized geometry

Cell: 7.574 7.574 7.574 Å, 90.00 90.00 90.00°
Space group Fm-3m (No. 225)
Inequivalent atoms, fractional coordinates:
Nd (0.000, 0.000, 0.000) [4 per cell]
Y (0.000, 0.000, 0.500) [4 per cell]
Hg (0.250, 0.250, 0.250) [8 per cell]

Total magnetization: 2.80 Bohr magnetons per cell

Arrangement B

NdYHg2 | GGA-PBE | optimized geometry

Cell: 3.8606 3.8606 27.4419 Å, 90.00 90.00 120.00°
Space group R3m (No. 160, hexagonal axes)
Inequivalent atoms, fractional coordinates:
Nd (0.0000, 0.0000, 0.0000) [3 per cell]
Y (0.0000, 0.0000, 0.8335) [3 per cell]
Hg (0.0000, 0.0000, 0.4191) [3 per cell]
Hg (0.0000, 0.0000, 0.5808) [3 per cell]

Total magnetization: 0.00 Bohr magnetons per cell

Q: Which of them is the most stable? A: arrangement A.

Arrangement A

Nd2YHg4 | GGA-PBE | optimized geometry

Cell: 5.1704 5.1704 26.9476 Å, 90.00 90.00 120.00°
Space group R-3m (No. 166, hexagonal axes)
Inequivalent atoms, fractional coordinates:
Nd (0.0000, 0.0000, 0.2438) [6 per cell]
Y (0.0000, 0.0000, 0.0000) [3 per cell]
Hg (0.0000, 0.0000, 0.1264) [6 per cell]
Hg (0.0000, 0.0000, 0.3708) [6 per cell]

Total magnetization: 0.00 Bohr magnetons per cell

Arrangement B

Nd2YHg4 | GGA-PBE | optimized geometry

Cell: 5.652 5.652 15.682 Å, 90.00 90.00 90.00°
Space group I4/mmm (No. 139)
Inequivalent atoms, fractional coordinates:
Nd (0.000, 0.000, 0.106) [4 per cell]
Y (0.000, 0.000, 0.500) [2 per cell]
Hg (0.000, 0.000, 0.307) [4 per cell]
Hg (0.000, 0.500, 0.000) [4 per cell]

Total magnetization: 0.00 Bohr magnetons per cell

Q: Which of them is the most stable? A: arrangement A.

Arrangement A

Nd2YHg2 | GGA-PBE | optimized geometry

Cell: 3.793 5.377 14.240 Å, 90.00 97.63 90.00°
Space group P2_1/m (No. 11)
Inequivalent atoms, fractional coordinates:
Nd (0.046, 0.250, 0.090) [2 per cell]
Nd (0.233, 0.250, 0.468) [2 per cell]
Y (0.147, 0.750, 0.292) [2 per cell]
Hg (0.360, 0.750, 0.718) [2 per cell]
Hg (0.444, 0.250, 0.891) [2 per cell]

Total magnetization: 0.75 Bohr magnetons per cell

Arrangement B

Nd2YHg2 | GGA-PBE | optimized geometry

Cell: 4.870 7.087 8.521 Å, 90.00 90.00 90.00°
Space group Immm (No. 71)
Inequivalent atoms, fractional coordinates:
Nd (0.000, 0.000, 0.193) [4 per cell]
Y (0.000, 0.500, 0.000) [2 per cell]
Hg (0.000, 0.281, 0.500) [4 per cell]

Total magnetization: 0.00 Bohr magnetons per cell

Q: Which of them is the most stable? A: arrangement A.

Arrangement A

Nd2Y2Hg | GGA-PBE | optimized geometry

Cell: 3.645 3.645 23.308 Å, 90.00 90.00 90.00°
Space group I4/mmm (No. 139)
Inequivalent atoms, fractional coordinates:
Nd (0.000, 0.000, 0.194) [4 per cell]
Y (0.000, 0.000, 0.416) [4 per cell]
Hg (0.000, 0.000, 0.000) [2 per cell]

Total magnetization: 1.02 Bohr magnetons per cell

Arrangement B

Nd2Y2Hg | GGA-PBE | optimized geometry

Cell: 7.422 10.308 16.752 Å, 90.00 90.00 90.00°
Space group Fmmm (No. 69)
Inequivalent atoms, fractional coordinates:
Nd (0.000, 0.000, 0.203) [8 per cell]
Nd (0.207, 0.000, 0.000) [8 per cell]
Y (0.000, 0.202, 0.397) [16 per cell]
Hg (0.250, 0.250, 0.250) [8 per cell]

Total magnetization: 0.00 Bohr magnetons per cell

Q: Which of them is the most stable? A: arrangement A.

Arrangement A

Nd8ZnHg2 | GGA-PBE | optimized geometry

Cell: 18.848 5.350 7.078 Å, 90.00 107.18 90.00°
Space group C2/m (No. 12)
Inequivalent atoms, fractional coordinates:
Nd (0.017, 0.000, 0.275) [4 per cell]
Nd (0.091, 0.500, 0.961) [4 per cell]
Nd (0.163, 0.500, 0.483) [4 per cell]
Nd (0.199, 0.000, 0.815) [4 per cell]
Zn (0.000, 0.500, 0.500) [2 per cell]
Hg (0.178, 0.000, 0.230) [4 per cell]

Total magnetization: 0.00 Bohr magnetons per cell

Arrangement B

Nd8ZnHg2 | GGA-PBE | optimized geometry

Cell: 18.358 5.453 6.803 Å, 90.00 92.26 90.00°
Space group C2/m (No. 12)
Inequivalent atoms, fractional coordinates:
Nd (0.031, 0.000, 0.265) [4 per cell]
Nd (0.092, 0.500, 0.906) [4 per cell]
Nd (0.171, 0.500, 0.407) [4 per cell]
Nd (0.210, 0.000, 0.088) [4 per cell]
Zn (0.000, 0.500, 0.500) [2 per cell]
Hg (0.153, 0.000, 0.642) [4 per cell]

Total magnetization: 0.00 Bohr magnetons per cell

Q: Which of them is the most stable? A: arrangement B.

Arrangement A

Nd6Zn2Hg | GGA-PBE | optimized geometry

Cell: 10.040 10.262 10.358 Å, 90.00 90.00 90.00°
Space group Immm (No. 71)
Inequivalent atoms, fractional coordinates:
Nd (0.000, 0.218, 0.179) [8 per cell]
Nd (0.181, 0.232, 0.500) [8 per cell]
Nd (0.203, 0.500, 0.252) [8 per cell]
Zn (0.000, 0.000, 0.376) [4 per cell]
Zn (0.133, 0.000, 0.000) [4 per cell]
Hg (0.000, 0.500, 0.000) [2 per cell]
Hg (0.000, 0.500, 0.500) [2 per cell]

Total magnetization: 0.00 Bohr magnetons per cell

Arrangement B

Nd6Zn2Hg | GGA-PBE | optimized geometry

Cell: 5.285 12.674 15.834 Å, 90.00 90.00 90.00°
Space group Fmmm (No. 69)
Inequivalent atoms, fractional coordinates:
Nd (0.000, 0.147, 0.169) [16 per cell]
Nd (0.000, 0.150, 0.500) [8 per cell]
Zn (0.000, 0.000, 0.333) [8 per cell]
Hg (0.000, 0.000, 0.000) [4 per cell]

Total magnetization: 3.96 Bohr magnetons per cell

Q: Which of them is the most stable? A: arrangement B.

Arrangement A

Nd2ZnHg2 | GGA-PBE | optimized geometry

Cell: 17.118 5.493 5.482 Å, 90.00 90.03 90.00°
Space group C2/c (No. 15)
Inequivalent atoms, fractional coordinates:
Nd (0.100, 0.250, 0.249) [8 per cell]
Zn (0.000, 0.250, 0.750) [4 per cell]
Hg (0.203, 0.249, 0.748) [8 per cell]

Total magnetization: 0.00 Bohr magnetons per cell

Arrangement B

Nd2ZnHg2 | GGA-PBE | optimized geometry

Cell: 11.206 4.643 11.317 Å, 90.00 116.64 90.00°
Space group C2/m (No. 12)
Inequivalent atoms, fractional coordinates:
Nd (0.026, 0.000, 0.345) [4 per cell]
Nd (0.188, 0.000, 0.106) [4 per cell]
Zn (0.222, 0.500, 0.340) [4 per cell]
Hg (0.027, 0.500, 0.880) [4 per cell]
Hg (0.148, 0.500, 0.573) [4 per cell]

Total magnetization: 0.00 Bohr magnetons per cell

Q: Which of them is the most stable? A: arrangement B.